# 1
CaFeAs2 at its PBEsol-relaxed geometry. Source: the Alexandria database, functional SCAN.

POSCAR file:
```
CaFeAs2
1.0
4.006 0.000 0.000
-2.003 3.355 -0.154
0.000 -2.136 5.360
As Fe Ca
2 1 1
Cartesian
0.000 1.125 0.784
2.003 0.094 4.421
2.003 0.000 0.000
0.000 -1.068 2.680
```

Calculated values
energy relative to the lowest polymorph listed for this composition: 0 meV/atom
energy relative to the elements: -0.507 eV/atom
calculated volume: 17.7 Å³/atom
density: 5.77 Mg/m³
spin magnetization: 1.09 Bohr magnetons per cell
total DFT energy (no corrections): -17.55 eV per atom


# 2
Na3InW at its PBEsol-relaxed geometry. Source: the Alexandria database, functional SCAN.

POSCAR file:
```
Na3InW
1.0
5.757 0.000 0.000
0.000 5.757 0.000
0.000 0.000 5.757
In W Na
1 1 3
Cartesian
2.878 2.878 2.878
0.000 0.000 0.000
0.000 2.878 0.000
2.878 0.000 0.000
0.000 0.000 2.878
```

Calculated values
energy relative to the elements: 1.536 eV/atom
calculated volume: 38.2 Å³/atom
density: 3.20 Mg/m³
spin magnetization: 5.02 Bohr magnetons per cell
total DFT energy (no corrections): -21.61 eV per atom